# 1
RbMnB2F8: relaxed, PBE with a Hubbard U.

Computed properties:
**Crystal system**: trigonal
**E**: -5.710 eV/atom
**M_tot**: 6.00 μB per cell

The structure in POSCAR format:
```
RbMnB2F8
1.0
-0.0226 1.0779 5.2216
0.1661 -3.9796 3.5444
7.8517 -0.6667 2.8937
Rb Mn B F
1 1 2 8
direct
0.5000 0.5000 0.5000
0.0000 0.0000 0.0000
0.2472 0.2472 0.2583
0.7528 0.7528 0.7417
0.1868 0.1868 0.4397
0.5001 0.3014 0.1985
0.8132 0.8132 0.5603
0.9999 0.5001 0.1985
0.0001 0.4999 0.8015
0.3014 0.9999 0.1985
0.6986 0.0001 0.8015
0.4999 0.6986 0.8015
```

# 2
MnBRuF2: relaxed, PBE with a Hubbard U.

Computed properties:
**Crystal system**: tetragonal
**E**: -5.112 eV/atom
**M_tot**: 2.88 μB per cell

The structure in POSCAR format:
```
MnBRuF2
1.0
3.8971 0.0000 0.0000
0.0000 3.8971 0.0000
0.0000 0.0000 5.4680
Ru B Mn F
1 1 1 2
direct
0.0000 0.0000 0.0000
0.5000 0.5000 0.5000
0.0000 0.0000 0.5000
0.0000 0.5000 0.0000
0.5000 0.0000 0.0000
```

# 3
ScMnBF2: relaxed, PBE with a Hubbard U.

Computed properties:
**Crystal system**: tetragonal
**E**: -4.864 eV/atom
**M_tot**: 4.25 μB per cell

The structure in POSCAR format:
```
ScMnBF2
1.0
4.1365 0.0000 0.0000
0.0000 4.7557 0.0000
0.0000 0.0000 4.1365
Sc B Mn F
1 1 1 2
direct
0.0000 0.5000 0.0000
0.0000 0.0000 0.0000
0.5000 0.5000 0.5000
0.0000 0.0000 0.5000
0.5000 0.0000 0.0000
```